[1]
DFT (GGA-PBE) results for a geometry-optimized Sr2Zn2SnPt5 structure.

The space group is P4/mbm (No. 127) and the conventional cell measures 10.0572, 10.0572 and 3.7966 Å, with angles of 90.00, 90.00 and 90.00 degrees. The inequivalent atoms are Sr at (0.1779, 0.3221, 0.0000), Zn at (0.1200, 0.6200, 0.0000), Sn at (0.0000, 0.0000, 0.0000), Pt at (0.0000, 0.5000, 0.5000) and Pt at (0.0624, 0.7909, 0.5000).

The formation energy comes out at -0.66 eV/atom. The calculation puts the total DFT energy (no corrections) at -4.669 eV/atom.

---

[2]
DFT (GGA-PBE) results for a geometry-optimized Sr2Zn3Sn4Pt structure.

The space group is P-4m2 (No. 115) and the conventional cell measures 4.6892, 4.6892 and 11.2267 Å, with angles of 90.00, 90.00 and 90.00 degrees. The inequivalent atoms are Sr at (0.0000, 0.5000, 0.2367), Zn at (0.0000, 0.0000, 0.0000), Zn at (0.0000, 0.5000, 0.6396), Sn at (0.0000, 0.0000, 0.5000), Sn at (0.0000, 0.5000, 0.8756), Sn at (0.5000, 0.5000, 0.5000) and Pt at (0.5000, 0.5000, 0.0000).

The formation energy comes out at -0.45 eV/atom. The calculation puts the total DFT energy (no corrections) at -3.370 eV/atom.

---

[3]
DFT (GGA-PBE) results for a geometry-optimized SrZr2SnPt structure.

The space group is P4/mmm (No. 123) and the conventional cell measures 5.4698, 5.4698 and 5.1365 Å, with angles of 90.00, 90.00 and 90.00 degrees. The inequivalent atoms are Sr at (0.0000, 0.0000, 0.0000), Zr at (0.0000, 0.5000, 0.5000), Sn at (0.5000, 0.5000, 0.5000) and Pt at (0.5000, 0.5000, 0.0000).

The formation energy comes out at 0.52 eV/atom. The calculation puts the total DFT energy (no corrections) at -5.247 eV/atom.

---

[4]
DFT (GGA-PBE) results for a geometry-optimized TaSn3Pt12 structure.

The space group is P4/mmm (No. 123) and the conventional cell measures 4.0389, 4.0389 and 16.2560 Å, with angles of 90.00, 90.00 and 90.00 degrees. The inequivalent atoms are Ta at (0.0000, 0.0000, 0.0000), Sn at (0.0000, 0.0000, 0.2521), Sn at (0.0000, 0.0000, 0.5000), Pt at (0.0000, 0.5000, 0.1175), Pt at (0.0000, 0.5000, 0.3739), Pt at (0.5000, 0.5000, 0.0000), Pt at (0.5000, 0.5000, 0.2451) and Pt at (0.5000, 0.5000, 0.5000).

The formation energy comes out at -0.48 eV/atom. The calculation puts the total DFT energy (no corrections) at -6.498 eV/atom.

---

[5]
DFT (GGA-PBE) results for a geometry-optimized TaSnPt6 structure.

The space group is P4/mmm (No. 123) and the conventional cell measures 4.0215, 4.0215 and 8.1165 Å, with angles of 90.00, 90.00 and 90.00 degrees. The inequivalent atoms are Ta at (0.0000, 0.0000, 0.0000), Sn at (0.0000, 0.0000, 0.5000), Pt at (0.0000, 0.5000, 0.2369), Pt at (0.5000, 0.5000, 0.0000) and Pt at (0.5000, 0.5000, 0.5000).

The formation energy comes out at -0.54 eV/atom. The calculation puts the total DFT energy (no corrections) at -7.057 eV/atom.

---

[6]
DFT (GGA-PBE) results for a geometry-optimized TaSn2Pt2 structure.

The space group is P4/mbm (No. 127) and the conventional cell measures 7.7127, 7.7127 and 3.2006 Å, with angles of 90.00, 90.00 and 90.00 degrees. The inequivalent atoms are Ta at (0.0000, 0.0000, 0.0000), Sn at (0.1473, 0.3527, 0.0000) and Pt at (0.1517, 0.6517, 0.5000).

The formation energy comes out at -0.03 eV/atom. As for the energy relative to the lowest polymorph listed for this composition: 0.000 eV per formula unit. The calculation puts the total DFT energy (no corrections) at -6.413 eV/atom.

---

[7]
DFT (GGA-PBE) results for a geometry-optimized TaSn2Pt2 structure.

The space group is I4/mmm (No. 139) and the conventional cell measures 3.8278, 3.8278 and 13.6877 Å, with angles of 90.00, 90.00 and 90.00 degrees. The inequivalent atoms are Ta at (0.0000, 0.0000, 0.0000), Sn at (0.0000, 0.0000, 0.3941) and Pt at (0.0000, 0.5000, 0.2500).

The formation energy comes out at 0.20 eV/atom. As for the energy relative to the lowest polymorph listed for this composition: 1.140 eV per formula unit. The calculation puts the total DFT energy (no corrections) at -6.185 eV/atom.

---

[8]
DFT (GGA-PBE) results for a geometry-optimized Ta2SnPt structure.

The space group is I-42d (No. 122) and the conventional cell measures 3.9520, 3.9520 and 20.2018 Å, with angles of 90.00, 90.00 and 90.00 degrees. The inequivalent atoms are Ta at (0.2476, 0.2500, 0.1250), Sn at (0.0000, 0.0000, 0.0000) and Pt at (0.0000, 0.0000, 0.5000).

The formation energy comes out at 0.23 eV/atom. The calculation puts the total DFT energy (no corrections) at -8.207 eV/atom.

---

[9]
DFT (GGA-PBE) results for a geometry-optimized TaSnPt structure.

The space group is Amm2 (No. 38) and the conventional cell measures 13.2900, 3.1140 and 5.4360 Å, with angles of 90.00, 90.00 and 90.00 degrees. The inequivalent atoms are Ta at (0.1598, 0.0000, 0.0000), Sn at (0.3370, 0.0000, 0.3328), Pt at (0.0000, 0.0000, 0.3314) and Pt at (0.5000, 0.0000, 0.0001).

The formation energy comes out at -0.09 eV/atom. The calculation puts the total DFT energy (no corrections) at -7.384 eV/atom.

---

[10]
DFT (GGA-PBE) results for a geometry-optimized Tb12SnPt6 structure.

The space group is Im-3 (No. 204) and the conventional cell measures 10.0330, 10.0330 and 10.0330 Å, with angles of 90.00, 90.00 and 90.00 degrees. The inequivalent atoms are Tb at (0.0000, 0.3004, 0.1808), Sn at (0.0000, 0.0000, 0.0000) and Pt at (0.0000, 0.1382, 0.5000).

The formation energy comes out at -0.88 eV/atom. The calculation puts the total DFT energy (no corrections) at -5.922 eV/atom.

---

[11]
DFT (GGA-PBE) results for a geometry-optimized Tb4Sn2Pt structure.

The space group is C2/m (No. 12) and the conventional cell measures 11.4767, 4.5796 and 8.7232 Å, with angles of 90.00, 121.90 and 90.00 degrees. The inequivalent atoms are Tb at (0.0754, 0.0000, 0.3598), Tb at (0.1726, 0.5000, 0.0651), Sn at (0.1454, 0.5000, 0.6599) and Pt at (0.0000, 0.0000, 0.0000).

The formation energy comes out at -0.80 eV/atom. The calculation puts the total DFT energy (no corrections) at -5.451 eV/atom.

---

[12]
DFT (GGA-PBE) results for a geometry-optimized Tb3Sn2Pt structure.

The space group is Pnma (No. 62) and the conventional cell measures 12.2188, 4.5120 and 11.6299 Å, with angles of 90.00, 90.00 and 90.00 degrees. The inequivalent atoms are Tb at (0.0530, 0.2500, 0.1290), Tb at (0.1214, 0.7500, 0.5535), Tb at (0.2345, 0.2500, 0.8005), Sn at (0.0001, 0.2500, 0.6936), Sn at (0.1866, 0.7500, 0.0062) and Pt at (0.1230, 0.2500, 0.3723).

The formation energy comes out at -0.90 eV/atom. The calculation puts the total DFT energy (no corrections) at -5.555 eV/atom.

---

[13]
DFT (GGA-PBE) results for a geometry-optimized Tb3Sn3Pt structure.

The space group is C2/m (No. 12) and the conventional cell measures 11.1893, 4.5094 and 15.0401 Å, with angles of 90.00, 109.49 and 90.00 degrees. The inequivalent atoms are Tb at (0.0204, 0.0000, 0.3779), Tb at (0.0983, 0.0000, 0.9239), Tb at (0.2369, 0.0000, 0.2365), Sn at (0.0182, 0.5000, 0.2316), Sn at (0.1288, 0.5000, 0.0761), Sn at (0.1451, 0.5000, 0.5337) and Pt at (0.2425, 0.5000, 0.3799).

The formation energy comes out at -0.87 eV/atom. The calculation puts the total DFT energy (no corrections) at -5.432 eV/atom.

---

[14]
DFT (GGA-PBE) results for a geometry-optimized TbSnPt2 structure.

The space group is P4/mmm (No. 123) and the conventional cell measures 4.6405, 4.6405 and 3.7218 Å, with angles of 90.00, 90.00 and 90.00 degrees. The inequivalent atoms are Tb at (0.0000, 0.0000, 0.0000), Sn at (0.5000, 0.5000, 0.0000) and Pt at (0.0000, 0.5000, 0.5000).

The formation energy comes out at -0.85 eV/atom. The calculation puts the total DFT energy (no corrections) at -6.025 eV/atom.

---

[15]
DFT (GGA-PBE) results for a geometry-optimized TbSn2Pt structure.

The space group is P4/mmm (No. 123) and the conventional cell measures 4.4799, 4.4799 and 4.4481 Å, with angles of 90.00, 90.00 and 90.00 degrees. The inequivalent atoms are Tb at (0.0000, 0.0000, 0.0000), Sn at (0.0000, 0.5000, 0.5000) and Pt at (0.5000, 0.5000, 0.0000).

The formation energy comes out at -0.62 eV/atom. The calculation puts the total DFT energy (no corrections) at -5.288 eV/atom.

---

[16]
DFT (GGA-PBE) results for a geometry-optimized Tb2SnPt structure.

The space group is P4/mmm (No. 123) and the conventional cell measures 3.5456, 3.5456 and 7.7568 Å, with angles of 90.00, 90.00 and 90.00 degrees. The inequivalent atoms are Tb at (0.0000, 0.0000, 0.2188), Sn at (0.5000, 0.5000, 0.5000) and Pt at (0.5000, 0.5000, 0.0000).

The formation energy comes out at -0.93 eV/atom. The calculation puts the total DFT energy (no corrections) at -5.756 eV/atom.

---

[17]
DFT (GGA-PBE) results for a geometry-optimized TbSnPt structure.

The space group is P-62m (No. 189) and the conventional cell measures 7.5355, 7.5355 and 4.0385 Å, with angles of 90.00, 90.00 and 120.00 degrees. The inequivalent atoms are Tb at (0.0000, 0.4059, 0.0000), Sn at (0.0000, 0.7417, 0.5000), Pt at (0.0000, 0.0000, 0.0000) and Pt at (0.3333, 0.6667, 0.5000).

The formation energy comes out at -1.10 eV/atom. The calculation puts the total DFT energy (no corrections) at -5.993 eV/atom.

---

[18]
DFT (GGA-PBE) results for a geometry-optimized Tb8Sn2Pt structure.

The space group is C2/m (No. 12) and the conventional cell measures 19.3969, 4.9803 and 6.7402 Å, with angles of 90.00, 104.45 and 90.00 degrees. The inequivalent atoms are Tb at (0.0194, 0.0000, 0.2823), Tb at (0.0917, 0.5000, 0.9657), Tb at (0.1477, 0.5000, 0.5021), Tb at (0.2183, 0.0000, 0.8231), Sn at (0.1819, 0.0000, 0.2590) and Pt at (0.0000, 0.5000, 0.5000).

The formation energy comes out at -0.52 eV/atom. The calculation puts the total DFT energy (no corrections) at -5.164 eV/atom.

---

[19]
DFT (GGA-PBE) results for a geometry-optimized TbSnPt3 structure.

The space group is Pnma (No. 62) and the conventional cell measures 7.5907, 7.7644 and 7.1352 Å, with angles of 90.00, 90.00 and 90.00 degrees. The inequivalent atoms are Tb at (0.0911, 0.2500, 0.0128), Sn at (0.0000, 0.0000, 0.5000), Pt at (0.2018, 0.5679, 0.7998) and Pt at (0.2255, 0.2500, 0.6287).

The formation energy comes out at -0.76 eV/atom. The calculation puts the total DFT energy (no corrections) at -6.111 eV/atom.

---

[20]
DFT (GGA-PBE) results for a geometry-optimized TbSnPt structure.

The space group is Pnma (No. 62) and the conventional cell measures 7.2561, 4.5736 and 8.0448 Å, with angles of 90.00, 90.00 and 90.00 degrees. The inequivalent atoms are Tb at (0.0118, 0.2500, 0.1946), Sn at (0.1770, 0.2500, 0.5837) and Pt at (0.2177, 0.7500, 0.4085).

The formation energy comes out at -1.08 eV/atom. The calculation puts the total DFT energy (no corrections) at -5.968 eV/atom.

---

[21]
DFT (GGA-PBE) results for a geometry-optimized TbSnPt2 structure.

The space group is P2_1/m (No. 11) and the conventional cell measures 5.8356, 4.3351 and 7.1034 Å, with angles of 90.00, 112.77 and 90.00 degrees. The inequivalent atoms are Tb at (0.2273, 0.2500, 0.4291), Sn at (0.1790, 0.2500, 0.9038), Pt at (0.3258, 0.7500, 0.1782) and Pt at (0.3366, 0.7500, 0.7442).

The formation energy comes out at -0.99 eV/atom. The calculation puts the total DFT energy (no corrections) at -6.172 eV/atom.

---

[22]
DFT (GGA-PBE) results for a geometry-optimized TbSnPt structure.

The space group is Imm2 (No. 44) and the conventional cell measures 4.6526, 7.2508 and 7.9767 Å, with angles of 90.00, 90.00 and 90.00 degrees. The inequivalent atoms are Tb at (0.0000, 0.0000, 0.0000), Tb at (0.0000, 0.5000, 0.0614), Sn at (0.0000, 0.2147, 0.3691) and Pt at (0.0000, 0.2837, 0.7016).

The formation energy comes out at -1.01 eV/atom. The calculation puts the total DFT energy (no corrections) at -5.901 eV/atom.